Material: AcNdZnPd
Method: DFT, PBE
State: relaxed

The calculation puts the energy above the most stable polymorph in this dataset at 0 meV/atom. For the raw total energy, the calculation gives -4.339 eV/atom. The calculation puts the formation energy at -2.01 eV/f.u. The density of states at the Fermi level is 3.6 states/eV per cell.

Cell: 4.616 5.941 5.941 Å, 42.26 90.00 90.00°
Fractional positions:
Ac  0.000  0.000  0.000
Nd  0.500  0.283  0.283
Zn  0.500  0.578  0.578
Pd  0.000  0.716  0.716